DFT (PBE with a Hubbard U) results for a geometry-optimized Na3MnF structure.

Properties
M_tot in μB/f.u.: 5.3
Polymorph energy (0 for the lowest one) in eV per formula unit: 0.00

Cell: 4.897 4.897 4.897 Å, 90.00 90.00 90.00°
Last column: magnetic moment on the atom in μB.
Fractional positions:
Na  0.000  0.500  0.000  0.00
Na  0.000  0.000  0.500  0.00
Na  0.500  0.000  0.000  0.00
Mn  0.500  0.500  0.500  4.72
F  0.000  0.000  0.000  0.01